Compound: Sr2WF
Source: the Alexandria database
Functional: PBE+U
Structure: optimized geometry

Cell lengths 5.649, 5.649, 5.649 Å; angles 60.00, 60.00, 60.00 degrees
Last column: magnetic moment on the atom in μB.
Sites, in units of the cell vectors:
Sr 0.250 0.250 0.250  0.05
Sr 0.750 0.750 0.750  0.05
W 0.500 0.500 0.500  3.60
F 0.000 0.000 0.000  0.04

space group = No. 225
VASP energy = -13.119 eV for the cell shown
crystal system = cubic